No. 1
The following is a DFT calculation (PBE-GGA) of an optimized crystal structure of HfW2.

Cell and atoms, written as CIF:
```
data_HfW2
_space_group_name_H-M_alt 'F m m m'
_space_group_IT_number 69
_space_group_name_Hall '-F 2 2'
_cell_length_a 3.255
_cell_length_b 4.717
_cell_length_c 13.777
_cell_angle_alpha 90.00
_cell_angle_beta 90.00
_cell_angle_gamma 90.00
loop_
_atom_site_label
_atom_site_type_symbol
_atom_site_fract_x
_atom_site_fract_y
_atom_site_fract_z
Hf1 Hf 0.000 0.000 0.000
W1 W 0.000 0.000 0.327
```

Summary:
E ... -35.6 eV/f.u.
Energy relative to the elements ... 98 meV/atom

=====

No. 2
The following is a DFT calculation (PBE-GGA) of an optimized crystal structure of Ba2Cl3.

Cell and atoms, written as CIF:
```
data_Ba2Cl3
_space_group_name_H-M_alt 'F d d 2'
_space_group_IT_number 43
_space_group_name_Hall 'F 2 -2d'
_cell_length_a 15.405
_cell_length_b 17.684
_cell_length_c 5.732
_cell_angle_alpha 90.00
_cell_angle_beta 90.00
_cell_angle_gamma 90.00
loop_
_atom_site_label
_atom_site_type_symbol
_atom_site_fract_x
_atom_site_fract_y
_atom_site_fract_z
Ba1 Ba 0.079 0.163 0.000
Cl1 Cl 0.000 0.000 0.946
Cl2 Cl 0.012 0.334 0.989
```

Summary:
E ... -20.0 eV/f.u.
Energy above the most stable polymorph in this dataset ... 0.161 eV per formula unit

=====

No. 3
The following is a DFT calculation (PBE-GGA) of an optimized crystal structure of YErMnOs.

Cell and atoms, written as CIF:
```
data_YErMnOs
_space_group_name_H-M_alt 'F -4 3 m'
_space_group_IT_number 216
_space_group_name_Hall 'F -4 2 3'
_cell_length_a 6.918
_cell_length_b 6.918
_cell_length_c 6.918
_cell_angle_alpha 90.00
_cell_angle_beta 90.00
_cell_angle_gamma 90.00
loop_
_atom_site_label
_atom_site_type_symbol
_atom_site_fract_x
_atom_site_fract_y
_atom_site_fract_z
Y1 Y 0.000 0.000 0.000
Er1 Er 0.000 0.000 0.500
Mn1 Mn 0.250 0.250 0.750
Os1 Os 0.250 0.250 0.250
```

Summary:
E ... -31.5 eV/f.u.
Energy relative to the elements ... -12 meV/atom

=====

No. 4
The following is a DFT calculation (PBE-GGA) of an optimized crystal structure of AgSn3O.

Cell and atoms, written as CIF:
```
data_AgSn3O
_space_group_name_H-M_alt 'P m -3 m'
_space_group_IT_number 221
_space_group_name_Hall '-P 4 2 3'
_cell_length_a 4.820
_cell_length_b 4.820
_cell_length_c 4.820
_cell_angle_alpha 90.00
_cell_angle_beta 90.00
_cell_angle_gamma 90.00
loop_
_atom_site_label
_atom_site_type_symbol
_atom_site_fract_x
_atom_site_fract_y
_atom_site_fract_z
Ag1 Ag 0.000 0.000 0.000
Sn1 Sn 0.000 0.500 0.500
O1 O 0.500 0.500 0.500
```

Summary:
E ... -20.6 eV/f.u.
Energy above the most stable polymorph in this dataset ... 0.000 eV per formula unit